No. 1
A relaxed structure of Nb2NiB2Ru5, computed with PBE.

Properties
The calculation puts the energy of formation at -340 meV/atom. For the calculated volume, the calculation gives 257.02 Å³ per cell.

Geometry as extended XYZ:
```
20
Lattice="9.261 0.000 0.000 0.000 9.261 0.000 0.000 0.000 2.997" Properties=species:S:1:pos:R:3 pbc="T T T"
Nb 1.641 2.990 0.000
Nb 2.990 7.621 0.000
Nb 6.271 1.641 0.000
Nb 7.621 6.271 0.000
Ni 0.000 0.000 0.000
Ni 4.631 4.631 0.000
B 1.158 5.789 0.000
B 3.472 1.158 0.000
B 5.789 8.103 0.000
B 8.103 3.472 0.000
Ru 0.000 4.631 1.498
Ru 0.669 7.288 1.498
Ru 1.973 0.669 1.498
Ru 2.658 5.300 1.498
Ru 3.961 2.658 1.498
Ru 4.631 0.000 1.498
Ru 5.300 6.604 1.498
Ru 6.604 3.961 1.498
Ru 7.288 8.592 1.498
Ru 8.592 1.973 1.498
```

No. 2
A relaxed structure of Sm2BeSnPd6, computed with PBE.

Properties
The calculation puts the energy of formation at -646 meV/atom. For the calculated volume, the calculation gives 192.14 Å³ per cell.

Geometry as extended XYZ:
```
10
Lattice="5.756 0.000 0.000 -2.863 5.000 0.000 -0.101 -3.229 6.676" Properties=species:S:1:pos:R:3 pbc="T T T"
Sm 1.099 -0.642 1.896
Sm 1.692 2.413 4.780
Be 1.446 2.500 0.000
Sn -1.482 0.886 3.338
Pd -0.455 1.896 0.968
Pd 0.418 -0.186 4.809
Pd 1.767 -2.678 5.698
Pd 1.024 4.449 0.979
Pd 2.373 1.957 1.867
Pd 3.245 -0.125 5.708
```

No. 3
A relaxed structure of Sm5Y4In, computed with PBE.

Properties
For the relative energy among the computed polymorphs, the calculation gives 153.1 meV/atom. The calculation puts the energy of formation at 117 meV/atom. For the calculated volume, the calculation gives 336.14 Å³ per cell.

Geometry as extended XYZ:
```
10
Lattice="-5.326 5.326 2.963 5.326 -5.326 2.963 5.326 5.326 -2.963" Properties=species:S:1:pos:R:3 pbc="T T T"
Sm 0.000 0.000 0.000
Sm 3.341 3.341 1.298
Sm 1.985 -1.985 4.260
Sm -1.985 1.985 4.260
Sm 1.985 1.985 4.260
Y 3.366 0.000 1.263
Y 7.286 0.000 1.263
Y 0.000 3.366 1.263
Y 0.000 7.286 1.263
In 0.000 0.000 2.846
```

No. 4
A relaxed structure of Ac2Se5, computed with PBE.

Properties
For the calculated volume, the calculation gives 407.19 Å³ per cell. Its uncorrected formation energy is -1.43 eV per atom.

Geometry as extended XYZ:
```
14
Lattice="2.117 -22.722 0.000 2.117 22.722 0.000 0.000 0.000 4.233" Properties=species:S:1:pos:R:3 pbc="T T T"
Ac 2.117 18.076 3.175
Ac 2.117 8.791 3.175
Ac 2.117 -8.791 1.058
Ac 2.117 -18.076 1.058
Se 2.117 20.584 1.058
Se 2.117 14.747 3.175
Se 2.117 11.361 1.058
Se 2.117 5.592 3.175
Se 2.117 2.138 1.058
Se 2.117 -2.138 3.175
Se 2.117 -5.592 1.058
Se 2.117 -11.361 3.175
Se 2.117 -14.747 1.058
Se 2.117 -20.584 3.175
```

No. 5
A relaxed structure of Zr3PbAu, computed with PBE.

Properties
For the relative energy among the computed polymorphs, the calculation gives 780.0 meV/atom. The calculation puts the energy of formation at 1163 meV/atom. For the calculated volume, the calculation gives 151.87 Å³ per cell.

Geometry as extended XYZ:
```
5
Lattice="5.335 0.000 0.000 0.000 5.335 0.000 0.000 0.000 5.335" Properties=species:S:1:pos:R:3 pbc="T T T"
Zr 0.000 0.000 2.668
Zr 0.000 2.668 0.000
Zr 2.668 0.000 0.000
Pb 0.000 0.000 0.000
Au 2.668 2.668 2.668
```

No. 6
A relaxed structure of NaYC, computed with PBE.

Properties
For the relative energy among the computed polymorphs, the calculation gives 1.5 meV/atom. The calculation puts the energy of formation at -132 meV/atom. For the calculated volume, the calculation gives 154.36 Å³ per cell.

Geometry as extended XYZ:
```
6
Lattice="3.585 0.000 0.000 1.780 3.781 0.000 1.750 -0.611 11.388" Properties=species:S:1:pos:R:3 pbc="T T T"
Na 0.000 0.000 0.000
Na 3.619 1.051 8.455
Y 1.814 1.623 2.936
Y 3.598 3.208 5.518
C 3.606 1.110 4.585
C 3.611 -0.060 3.870
```